Nd2Dy2In3 | PBE-GGA | optimized geometry

a = 3.9624 Å, b = 6.5383 Å, c = 9.1398 Å
α = 111.52°, β = 89.92°, γ = 107.59°
With the nearest neighbours (Å) after each atom.
Positions (direct):
Nd  0.8866  0.7704  0.5488  3 In 3.25-3.28, 1 Nd 3.31
Nd  0.1134  0.2296  0.4512  3 In 3.25-3.28, 1 Nd 3.31
Dy  0.6331  0.2662  0.8246  5 In 3.22-3.36
Dy  0.3669  0.7338  0.1754  5 In 3.22-3.36
In  0.0000  0.0000  0.0000  4 In 2.99
In  0.6710  0.3434  0.2047  2 In 2.99, 3 Dy 3.22-3.32, 3 Nd 3.25-3.28
In  0.3290  0.6566  0.7953  2 In 2.99, 3 Dy 3.22-3.32, 3 Nd 3.25-3.28

## Properties
As for the relative energy among the computed polymorphs: 29 meV/atom.

***

Nb2WSe6 | PBE-GGA | optimized geometry

a = 3.4277 Å, b = 7.9177 Å, c = 8.7111 Å
α = 114.13°, β = 101.35°, γ = 90.00°
With the nearest neighbours (Å) after each atom.
Positions (direct):
Nb  0.8513  0.7046  0.7026  6 Se 2.52-2.76
Nb  0.1487  0.2954  0.2974  6 Se 2.52-2.76
W  0.5000  0.0000  0.0000  6 Se 2.61-2.63
Se  0.3352  0.9301  0.6703  2 Nb 2.57, 1 W 2.63
Se  0.9926  0.2408  0.9853  1 Nb 2.52, 2 W 2.61
Se  0.6742  0.5661  0.3483  3 Nb 2.63-2.76
Se  0.0074  0.7592  0.0147  1 Nb 2.52, 2 W 2.61
Se  0.6648  0.0699  0.3297  2 Nb 2.57, 1 W 2.63
Se  0.3258  0.4339  0.6517  3 Nb 2.63-2.76

## Properties
As for the relative energy among the computed polymorphs: 0 meV/atom. The value obtained for the uncorrected formation energy is -0.6887 eV per atom.

***

KCaS3 | PBE-GGA | optimized geometry

a = 5.3990 Å, b = 5.3990 Å, c = 5.3990 Å
α = 90.00°, β = 90.00°, γ = 90.00°
With the nearest neighbours (Å) after each atom.
Positions (direct):
S  0.0000  0.5000  0.0000  2 Ca 2.70
S  0.0000  0.0000  0.5000  2 Ca 2.70
S  0.5000  0.0000  0.0000  2 Ca 2.70
Ca  0.0000  0.0000  0.0000  6 S 2.70
K  0.5000  0.5000  0.5000  12 S 3.82

## Properties
As for the relative energy among the computed polymorphs: 0 meV/atom. The value obtained for the uncorrected formation energy is -0.5393 eV per atom.

***

Ac2TlNi2 | PBE-GGA | optimized geometry

a = 4.0325 Å, b = 7.9482 Å, c = 7.9482 Å
α = 90.00°, β = 90.00°, γ = 90.00°
With the nearest neighbours (Å) after each atom.
Positions (direct):
Ac  0.5000  0.1782  0.6782  6 Ni 3.10-3.11
Ac  0.5000  0.6782  0.8218  6 Ni 3.10-3.11
Ac  0.5000  0.8218  0.3218  6 Ni 3.10-3.11
Ac  0.5000  0.3218  0.1782  6 Ni 3.10-3.11
Tl  0.0000  0.0000  0.0000  4 Ni 3.22, 8 Ac 3.55
Tl  0.0000  0.5000  0.5000  4 Ni 3.22, 8 Ac 3.55
Ni  0.0000  0.3891  0.8891  1 Ni 2.49
Ni  0.0000  0.8891  0.6109  1 Ni 2.49
Ni  0.0000  0.6109  0.1109  1 Ni 2.49
Ni  0.0000  0.1109  0.3891  1 Ni 2.49

## Properties
As for the relative energy among the computed polymorphs: 32 meV/atom.

***

DyCl5 | PBE-GGA | optimized geometry

a = 3.9800 Å, b = 5.2957 Å, c = 11.5089 Å
α = 90.00°, β = 92.06°, γ = 90.00°
With the nearest neighbours (Å) after each atom.
Positions (direct):
Dy  0.0444  0.5000  0.6111  6 Cl 2.65-2.66
Cl  0.5960  0.0000  0.0250  1 Cl 1.99
Cl  0.0443  0.0000  0.6112  2 Dy 2.65
Cl  0.5598  0.0000  0.1972  1 Cl 1.99
Cl  0.5605  0.5000  0.7648  2 Dy 2.66
Cl  0.5283  0.5000  0.4574  2 Dy 2.66

## Properties
The value obtained for the uncorrected formation energy is -1.4899 eV per atom.

***

The evaluated magnetization for the records listed, in turn: 0.000 0.000 0.600 0.000 0.000 μB per atom.